(1)
Crystalline Th2SnPb at its relaxed geometry. Source: Alexandria, functional PBE.

Output
Theoretical density ... 11.14 g/cm3
Density of states at the Fermi level ... 0.695 states/eV/atom
Spin magnetization ... 0.00 Bohr magnetons per cell
E above lowest polymorph ... 0.031 eV per formula unit

Geometry as CIF:
```
data_Th2SnPb
_chemical_formula_sum 'Th2 Sn1 Pb1'
_cell_length_a 5.100
_cell_length_b 5.100
_cell_length_c 4.525
_cell_angle_alpha 90.00
_cell_angle_beta 90.00
_cell_angle_gamma 90.00
_symmetry_space_group_name_H-M 'P 4/m m m'
_symmetry_Int_Tables_number 123
_symmetry_space_group_name_Hall '-P 4 2'
loop_
_atom_site_label
_atom_site_type_symbol
_atom_site_fract_x
_atom_site_fract_y
_atom_site_fract_z
Th1 Th 0.000 0.500 0.000
Sn1 Sn 0.000 0.000 0.500
Pb1 Pb 0.500 0.500 0.500
```

(2)
Crystalline CePr3Al8 at its relaxed geometry. Source: Alexandria, functional PBE.

Output
Theoretical density ... 4.95 g/cm3
Density of states at the Fermi level ... 0.974 states/eV/atom
Spin magnetization ... 1.88 Bohr magnetons per cell
E above lowest polymorph ... 0.000 eV per formula unit

Geometry as CIF:
```
data_CePr3Al8
_chemical_formula_sum 'Ce3 Pr9 Al24'
_cell_length_a 5.6973
_cell_length_b 5.6973
_cell_length_c 27.8703
_cell_angle_alpha 90.00
_cell_angle_beta 90.00
_cell_angle_gamma 120.00
_symmetry_space_group_name_H-M 'R 3 m'
_symmetry_Int_Tables_number 160
_symmetry_space_group_name_Hall 'R 3 -2"'
loop_
_atom_site_label
_atom_site_type_symbol
_atom_site_fract_x
_atom_site_fract_y
_atom_site_fract_z
Ce1 Ce 0.0000 0.0000 0.0000
Pr1 Pr 0.0000 0.0000 0.1239
Pr2 Pr 0.0000 0.0000 0.4994
Pr3 Pr 0.0000 0.0000 0.6258
Al1 Al 0.0000 0.0000 0.3124
Al2 Al 0.0000 0.0000 0.8126
Al3 Al 0.0005 0.5003 0.0619
Al4 Al 0.0016 0.5008 0.5626
```

(3)
Crystalline TaHgRu2 at its relaxed geometry. Source: Alexandria, functional PBE.

Output
Theoretical density ... 14.77 g/cm3
Density of states at the Fermi level ... 0.959 states/eV/atom
Spin magnetization ... 0.00 Bohr magnetons per cell
Final energy ... -7.48 eV/atom

Geometry as CIF:
```
data_TaHgRu2
_chemical_formula_sum 'Ta2 Hg2 Ru4'
_cell_length_a 10.094
_cell_length_b 3.017
_cell_length_c 4.701
_cell_angle_alpha 90.00
_cell_angle_beta 113.53
_cell_angle_gamma 90.00
_symmetry_space_group_name_H-M 'C 1 m 1'
_symmetry_Int_Tables_number 8
loop_
_symmetry_equiv_pos_as_xyz
'x,y,z'
'x,-y,z'
'x+1/2,y+1/2,z'
'x+1/2,-y+1/2,z'
loop_
_atom_site_label
_atom_site_type_symbol
_atom_site_fract_x
_atom_site_fract_y
_atom_site_fract_z
Ta1 Ta 0.000 0.000 0.000
Hg1 Hg 0.263 0.500 0.392
Ru1 Ru 0.019 0.500 0.525
Ru2 Ru 0.252 0.000 0.889
```

(4)
Crystalline Pm3Si3Pt at its relaxed geometry. Source: Alexandria, functional PBE.

Output
Theoretical density ... 6.39 g/cm3
Energy relative to the elements, uncorrected ... -0.522 eV per atom
Density of states at the Fermi level ... 1.114 states/eV/atom
Spin magnetization ... 0.00 Bohr magnetons per cell
E above lowest polymorph ... 2.626 eV per formula unit

Geometry as CIF:
```
data_Pm3Si3Pt
_chemical_formula_sum 'Pm6 Si6 Pt2'
_cell_length_a 8.5680
_cell_length_b 8.5680
_cell_length_c 5.8421
_cell_angle_alpha 90.00
_cell_angle_beta 90.00
_cell_angle_gamma 120.00
_symmetry_space_group_name_H-M 'P 63/m'
_symmetry_Int_Tables_number 176
_symmetry_space_group_name_Hall '-P 6c'
loop_
_atom_site_label
_atom_site_type_symbol
_atom_site_fract_x
_atom_site_fract_y
_atom_site_fract_z
Pm1 Pm 0.0856 0.3897 0.2500
Si1 Si 0.0843 0.3707 0.7500
Pt1 Pt 0.3333 0.6667 0.7500
```

(5)
Crystalline Nb2PC at its relaxed geometry. Source: Alexandria, functional PBE.

Output
Theoretical density ... 6.87 g/cm3
Density of states at the Fermi level ... 0.461 states/eV/atom
Spin magnetization ... 0.00 Bohr magnetons per cell
E above lowest polymorph ... 0.000 eV per formula unit

Geometry as CIF:
```
data_Nb2PC
_chemical_formula_sum 'Nb4 P2 C2'
_cell_length_a 3.3129
_cell_length_b 3.3129
_cell_length_c 11.6363
_cell_angle_alpha 90.00
_cell_angle_beta 90.00
_cell_angle_gamma 120.00
_symmetry_space_group_name_H-M 'P 63/m m c'
_symmetry_Int_Tables_number 194
_symmetry_space_group_name_Hall '-P 6c 2c'
loop_
_atom_site_label
_atom_site_type_symbol
_atom_site_fract_x
_atom_site_fract_y
_atom_site_fract_z
Nb1 Nb 0.3333 0.6667 0.1000
P1 P 0.3333 0.6667 0.7500
C1 C 0.0000 0.0000 0.0000
```

(6)
Crystalline CsSrWN3 at its relaxed geometry. Source: Alexandria, functional PBE.

Output
Theoretical density ... 6.02 g/cm3
Energy relative to the elements, uncorrected ... -0.576 eV per atom
Density of states at the Fermi level ... 0.000 states/eV/atom
Spin magnetization ... 0.00 Bohr magnetons per cell

Geometry as CIF:
```
data_CsSrWN3
_chemical_formula_sum 'Cs4 Sr4 W4 N12'
_cell_length_a 13.179
_cell_length_b 3.604
_cell_length_c 11.972
_cell_angle_alpha 90.00
_cell_angle_beta 119.96
_cell_angle_gamma 90.00
_symmetry_space_group_name_H-M 'C 1 2/m 1'
_symmetry_Int_Tables_number 12
loop_
_symmetry_equiv_pos_as_xyz
'x,y,z'
'-x,-y,-z'
'-x,y,-z'
'x,-y,z'
'x+1/2,y+1/2,z'
'-x+1/2,-y+1/2,-z'
'-x+1/2,y+1/2,-z'
'x+1/2,-y+1/2,z'
loop_
_atom_site_label
_atom_site_type_symbol
_atom_site_fract_x
_atom_site_fract_y
_atom_site_fract_z
Cs1 Cs 0.118 0.000 0.480
Sr1 Sr 0.175 0.000 0.164
W1 W 0.049 0.500 0.831
N1 N 0.087 0.000 0.918
N2 N 0.096 0.500 0.714
N3 N 0.113 0.500 0.261
```

(7)
Crystalline RbYRe2Ir at its relaxed geometry. Source: Alexandria, functional PBE.

Output
Theoretical density ... 9.56 g/cm3
Density of states at the Fermi level ... 1.100 states/eV/atom
Spin magnetization ... 0.00 Bohr magnetons per cell
Final energy ... -6.61 eV/atom

Geometry as CIF:
```
data_RbYRe2Ir
_chemical_formula_sum 'Rb1 Y1 Re2 Ir1'
_cell_length_a 4.821
_cell_length_b 4.821
_cell_length_c 5.523
_cell_angle_alpha 90.00
_cell_angle_beta 90.00
_cell_angle_gamma 90.00
_symmetry_space_group_name_H-M 'P 4/m m m'
_symmetry_Int_Tables_number 123
_symmetry_space_group_name_Hall '-P 4 2'
loop_
_atom_site_label
_atom_site_type_symbol
_atom_site_fract_x
_atom_site_fract_y
_atom_site_fract_z
Rb1 Rb 0.000 0.000 0.000
Y1 Y 0.500 0.500 0.000
Re1 Re 0.000 0.500 0.500
Ir1 Ir 0.000 0.000 0.500
```

(8)
Crystalline HgPWS2 at its relaxed geometry. Source: Alexandria, functional PBE.

Output
Theoretical density ... 7.42 g/cm3
Energy relative to the elements, uncorrected ... 0.211 eV per atom
Density of states at the Fermi level ... 0.712 states/eV/atom
Spin magnetization ... 0.00 Bohr magnetons per cell
E above lowest polymorph ... 0.000 eV per formula unit

Geometry as CIF:
```
data_HgPWS2
_chemical_formula_sum 'Hg1 P1 W1 S2'
_cell_length_a 4.646
_cell_length_b 4.646
_cell_length_c 4.974
_cell_angle_alpha 90.00
_cell_angle_beta 90.00
_cell_angle_gamma 90.00
_symmetry_space_group_name_H-M 'P 4/m m m'
_symmetry_Int_Tables_number 123
_symmetry_space_group_name_Hall '-P 4 2'
loop_
_atom_site_label
_atom_site_type_symbol
_atom_site_fract_x
_atom_site_fract_y
_atom_site_fract_z
Hg1 Hg 0.000 0.000 0.000
P1 P 0.500 0.500 0.000
W1 W 0.500 0.500 0.500
S1 S 0.000 0.500 0.500
```

(9)
Crystalline Sc5TcSn at its relaxed geometry. Source: Alexandria, functional PBE.

Output
Theoretical density ... 4.52 g/cm3
Density of states at the Fermi level ... 0.960 states/eV/atom
Spin magnetization ... 0.00 Bohr magnetons per cell
Final energy ... -6.78 eV/atom

Geometry as CIF:
```
data_Sc5TcSn
_chemical_formula_sum 'Sc20 Tc4 Sn4'
_cell_length_a 8.085
_cell_length_b 8.555
_cell_length_c 9.424
_cell_angle_alpha 90.00
_cell_angle_beta 95.67
_cell_angle_gamma 90.00
_symmetry_space_group_name_H-M 'C 1 2/c 1'
_symmetry_Int_Tables_number 15
loop_
_symmetry_equiv_pos_as_xyz
'x,y,z'
'-x,-y,-z'
'-x,y,-z+1/2'
'x,-y,z+1/2'
'x+1/2,y+1/2,z'
'-x+1/2,-y+1/2,-z'
'-x+1/2,y+1/2,-z+1/2'
'x+1/2,-y+1/2,z+1/2'
loop_
_atom_site_label
_atom_site_type_symbol
_atom_site_fract_x
_atom_site_fract_y
_atom_site_fract_z
Sc1 Sc 0.000 0.131 0.250
Sc2 Sc 0.154 0.214 0.652
Sc3 Sc 0.193 0.412 0.015
Tc1 Tc 0.000 0.000 0.000
Sn1 Sn 0.000 0.480 0.250
```

(10)
Crystalline Y6GaS8 at its relaxed geometry. Source: Alexandria, functional PBE.

Output
Theoretical density ... 4.22 g/cm3
Energy relative to the elements, uncorrected ... -1.838 eV per atom
Density of states at the Fermi level ... 0.370 states/eV/atom
Spin magnetization ... 0.00 Bohr magnetons per cell

Geometry as CIF:
```
data_Y6GaS8
_chemical_formula_sum 'Y24 Ga4 S32'
_cell_length_a 11.064
_cell_length_b 11.064
_cell_length_c 11.064
_cell_angle_alpha 90.00
_cell_angle_beta 90.00
_cell_angle_gamma 90.00
_symmetry_space_group_name_H-M 'F m -3 m'
_symmetry_Int_Tables_number 225
_symmetry_space_group_name_Hall '-F 4 2 3'
loop_
_atom_site_label
_atom_site_type_symbol
_atom_site_fract_x
_atom_site_fract_y
_atom_site_fract_z
Y1 Y 0.000 0.250 0.250
Ga1 Ga 0.000 0.000 0.000
S1 S 0.000 0.000 0.250
S2 S 0.250 0.250 0.250
```

(11)
Crystalline RbMnNbW2 at its relaxed geometry. Source: Alexandria, functional PBE.

Output
Theoretical density ... 9.42 g/cm3
Density of states at the Fermi level ... 1.542 states/eV/atom
Spin magnetization ... 0.00 Bohr magnetons per cell
Final energy ... -7.50 eV/atom

Geometry as CIF:
```
data_RbMnNbW2
_chemical_formula_sum 'Rb1 Mn1 Nb1 W2'
_cell_length_a 4.678
_cell_length_b 4.678
_cell_length_c 4.841
_cell_angle_alpha 90.00
_cell_angle_beta 90.00
_cell_angle_gamma 90.00
_symmetry_space_group_name_H-M 'P 4/m m m'
_symmetry_Int_Tables_number 123
_symmetry_space_group_name_Hall '-P 4 2'
loop_
_atom_site_label
_atom_site_type_symbol
_atom_site_fract_x
_atom_site_fract_y
_atom_site_fract_z
Rb1 Rb 0.000 0.000 0.000
Mn1 Mn 0.500 0.500 0.500
Nb1 Nb 0.500 0.500 0.000
W1 W 0.000 0.500 0.500
```

(12)
Crystalline Zr2ZnGa9 at its relaxed geometry. Source: Alexandria, functional PBE.

Output
Theoretical density ... 6.78 g/cm3
Density of states at the Fermi level ... 0.279 states/eV/atom
Spin magnetization ... 0.00 Bohr magnetons per cell
Final energy ... -4.07 eV/atom

Geometry as CIF:
```
data_Zr2ZnGa9
_chemical_formula_sum 'Zr2 Zn1 Ga9'
_cell_length_a 4.066
_cell_length_b 4.066
_cell_length_c 12.966
_cell_angle_alpha 90.00
_cell_angle_beta 90.00
_cell_angle_gamma 90.00
_symmetry_space_group_name_H-M 'P 4/m m m'
_symmetry_Int_Tables_number 123
_symmetry_space_group_name_Hall '-P 4 2'
loop_
_atom_site_label
_atom_site_type_symbol
_atom_site_fract_x
_atom_site_fract_y
_atom_site_fract_z
Zr1 Zr 0.000 0.000 0.156
Zn1 Zn 0.000 0.000 0.500
Ga1 Ga 0.000 0.500 0.000
Ga2 Ga 0.000 0.500 0.333
Ga3 Ga 0.500 0.500 0.168
Ga4 Ga 0.500 0.500 0.500
```

theoretical density of number 9 (Sc5TcSn)? 4.52 g/cm3

Copy entry 8 word for word.
Crystalline HgPWS2 at its relaxed geometry. Source: Alexandria, functional PBE.

Output
Theoretical density ... 7.42 g/cm3
Energy relative to the elements, uncorrected ... 0.211 eV per atom
Density of states at the Fermi level ... 0.712 states/eV/atom
Spin magnetization ... 0.00 Bohr magnetons per cell
E above lowest polymorph ... 0.000 eV per formula unit

Geometry as CIF:
```
data_HgPWS2
_chemical_formula_sum 'Hg1 P1 W1 S2'
_cell_length_a 4.646
_cell_length_b 4.646
_cell_length_c 4.974
_cell_angle_alpha 90.00
_cell_angle_beta 90.00
_cell_angle_gamma 90.00
_symmetry_space_group_name_H-M 'P 4/m m m'
_symmetry_Int_Tables_number 123
_symmetry_space_group_name_Hall '-P 4 2'
loop_
_atom_site_label
_atom_site_type_symbol
_atom_site_fract_x
_atom_site_fract_y
_atom_site_fract_z
Hg1 Hg 0.000 0.000 0.000
P1 P 0.500 0.500 0.000
W1 W 0.500 0.500 0.500
S1 S 0.000 0.500 0.500
```

Among the records above, which one has the highest spin magnetization? CePr3Al8

Number 1 is which compound? Th2SnPb